First-principles (GGA-PBE) data for an optimized crystal structure of LiReP2, as listed in Alexandria via LeMat-Bulk. Values from VASP.

Calculated values
Calculated formation energy ... -169 meV per atom
Spin magnetization ... 0.00 μB/atom
Raw total energy ... -0.475 Ry/atom
Relative energy among the computed polymorphs ... 0.151 eV/atom

Cell and atoms, written as Quantum ESPRESSO input:
```
&SYSTEM
  ibrav = 0, nat = 4, ntyp = 3
/
ATOMIC_SPECIES
Li 6.94 Li.upf
Re 186.21 Re.upf
P 30.97 P.upf
CELL_PARAMETERS angstrom
4.308 -1.546 0.000
4.308 1.546 0.000
-1.276 0.000 4.228
ATOMIC_POSITIONS crystal
Li 0.000 0.000 0.000
Re 0.741 0.741 0.477
P 0.256 0.256 0.898
P 0.444 0.444 0.404
```